[1]
Material: BaOs2O6
Method: DFT, GGA-PBE
State: optimized geometry Values from VASP.

Formation energy (no corrections), meV per atom: -1394.7

Structure (Quantum ESPRESSO input):
```
&SYSTEM
  ibrav = 0, nat = 18, ntyp = 3
/
ATOMIC_SPECIES
Ba 137.33 Ba.upf
Os 190.23 Os.upf
O 16.00 O.upf
ATOMIC_POSITIONS crystal
Ba 0.5000 0.5000 0.5000
Ba 0.7500 0.7500 0.7500
Os 0.1250 0.1250 0.1250
Os 0.1250 0.6250 0.1250
Os 0.1250 0.1250 0.6250
Os 0.6250 0.1250 0.1250
O 0.1977 0.1977 0.8023
O 0.8023 0.8023 0.1977
O 0.1977 0.8023 0.1977
O 0.1977 0.8023 0.8023
O 0.4477 0.4477 0.0523
O 0.4477 0.0523 0.0523
O 0.8023 0.1977 0.8023
O 0.0523 0.0523 0.4477
O 0.4477 0.0523 0.4477
O 0.0523 0.4477 0.4477
O 0.8023 0.1977 0.1977
O 0.0523 0.4477 0.0523
CELL_PARAMETERS angstrom
7.1956 0.0000 0.0000
3.5978 6.2316 0.0000
3.5978 2.0772 5.8752
```

***

[2]
Material: Pm4Dy3Sn4
Method: DFT, GGA-PBE
State: optimized geometry Values from VASP.

Formation energy, meV per atom: -554

Structure (Quantum ESPRESSO input):
```
&SYSTEM
  ibrav = 0, nat = 11, ntyp = 3
/
ATOMIC_SPECIES
Pm 145.00 Pm.upf
Dy 162.50 Dy.upf
Sn 118.71 Sn.upf
ATOMIC_POSITIONS crystal
Pm 0.3367 0.1595 0.6734
Pm 0.6633 0.4861 0.3266
Pm 0.6633 0.8405 0.3266
Pm 0.3367 0.5139 0.6734
Dy 0.0907 0.0907 0.1814
Dy 0.9093 0.9093 0.8186
Dy 0.0000 0.5000 0.0000
Sn 0.2756 0.7756 0.5513
Sn 0.7244 0.2244 0.4487
Sn 0.5000 0.7788 0.0000
Sn 0.5000 0.2212 0.0000
CELL_PARAMETERS angstrom
-0.5959 3.4437 0.6564
-8.9323 -0.8797 -3.4942
1.5760 -3.4931 10.1253
```